(1)
Below is a relaxed structure of TbSn2HgTe4, with properties calculated at the PBE level.

- formation energy from raw total energies (eV/atom) = -0.515
- mass density (g cm⁻³) = 7.10
- space group = P2/m

Unit cell a=7.8324 b=4.4261 c=7.9521 alpha=90.00 beta=109.99 gamma=90.00
Closest atoms and distances in Å follow each position.
Atoms (fractional coordinates):
Tb: 0.0000 0.0000 0.0000  6 Te 3.11-3.15
Sn: 0.5000 0.0000 0.5000  6 Te 3.22-3.32
Sn: 0.5000 0.5000 0.0000  6 Te 3.15-3.16
Hg: 0.0000 0.5000 0.5000  6 Te 3.17-3.32
Te: 0.2439 0.0000 0.7568  1 Tb 3.15, 3 Sn 3.16-3.32, 2 Hg 3.17
Te: 0.2483 0.5000 0.2357  2 Tb 3.11, 3 Sn 3.15-3.22, 1 Hg 3.32
Te: 0.7517 0.5000 0.7643  2 Tb 3.11, 3 Sn 3.15-3.22, 1 Hg 3.32
Te: 0.7561 0.0000 0.2432  1 Tb 3.15, 3 Sn 3.16-3.32, 2 Hg 3.17



(2)
Below is a relaxed structure of TbTmSnHg, with properties calculated at the PBE level.

- mass density (g cm⁻³) = 10.42
- ΔE_f (eV per atom) = -0.543
- space group = F-43m

Unit cell a=5.2632 b=5.2632 c=5.2632 alpha=60.00 beta=60.00 gamma=60.00
Closest atoms and distances in Å follow each position.
Atoms (fractional coordinates):
Tb: 0.0000 0.0000 0.0000  4 Hg 3.22, 4 Sn 3.22
Tm: 0.5000 0.5000 0.5000  4 Hg 3.22, 4 Sn 3.22
Sn: 0.2500 0.2500 0.2500  4 Tb 3.22, 4 Tm 3.22
Hg: 0.7500 0.7500 0.7500  4 Tb 3.22, 4 Tm 3.22



Please write out number 1 again, unchanged.
Below is a relaxed structure of TbSn2HgTe4, with properties calculated at the PBE level.

- formation energy from raw total energies (eV/atom) = -0.515
- mass density (g cm⁻³) = 7.10
- space group = P2/m

Unit cell a=7.8324 b=4.4261 c=7.9521 alpha=90.00 beta=109.99 gamma=90.00
Closest atoms and distances in Å follow each position.
Atoms (fractional coordinates):
Tb: 0.0000 0.0000 0.0000  6 Te 3.11-3.15
Sn: 0.5000 0.0000 0.5000  6 Te 3.22-3.32
Sn: 0.5000 0.5000 0.0000  6 Te 3.15-3.16
Hg: 0.0000 0.5000 0.5000  6 Te 3.17-3.32
Te: 0.2439 0.0000 0.7568  1 Tb 3.15, 3 Sn 3.16-3.32, 2 Hg 3.17
Te: 0.2483 0.5000 0.2357  2 Tb 3.11, 3 Sn 3.15-3.22, 1 Hg 3.32
Te: 0.7517 0.5000 0.7643  2 Tb 3.11, 3 Sn 3.15-3.22, 1 Hg 3.32
Te: 0.7561 0.0000 0.2432  1 Tb 3.15, 3 Sn 3.16-3.32, 2 Hg 3.17



- Look up the mass density of the second one.
  10.42 g cm⁻³



- Look up the mass density of the first one.
  7.10 g cm⁻³



- Look up the mass density of the second one.
  10.42 g cm⁻³